Entry 1:
The following is a DFT calculation (PBE with a Hubbard U) of a geometry-optimized Nb2NiAgO structure.

The structure in POSCAR format:
```
Nb2NiAgO
1.0
-2.408 0.832 4.199
-1.502 -3.016 -0.264
3.682 -2.054 2.519
Nb Ag O Ni
2 1 1 1
direct
0.000 0.000 0.500
0.500 0.000 0.000
0.500 0.500 0.500
0.000 0.500 0.000
0.000 0.000 0.000
```

Results
* total magnetization: 0.6 μB/cell
* Fermi-level density of states: 3.845 states/eV per cell
* final energy: -5.35 eV per atom

***

Entry 2:
The following is a DFT calculation (PBE with a Hubbard U) of a geometry-optimized NbNi2Ag2O6 structure.

The structure in POSCAR format:
```
NbNi2Ag2O6
1.0
-2.216 4.340 1.950
-2.564 -4.540 0.601
5.803 -0.725 3.278
O Ni Ag Nb
6 2 2 1
direct
0.549 0.874 0.315
0.126 0.451 0.685
0.874 0.549 0.315
0.451 0.126 0.685
0.815 0.815 0.701
0.185 0.185 0.299
0.665 0.335 0.500
0.335 0.665 0.500
0.817 0.183 0.000
0.183 0.817 0.000
0.000 0.000 0.500
```

Results
* total magnetization: 3.1 μB/cell
* Fermi-level density of states: 3.973 states/eV per cell
* final energy: -5.75 eV per atom